(1)
## SbP2PbW (PBE-GGA)

Data for crystalline SbP2PbW at its relaxed geometry.

abc: 4.9159 4.9159 5.5741
angles: 90.00 90.00 90.00
With the nearest neighbours (Å) after each atom.
Fractional positions:
Sb 0.0000 0.0000 0.0000  4 P 2.46
P 0.0000 0.5000 0.0000  2 Sb 2.46
P 0.5000 0.0000 0.0000  2 Sb 2.46
Pb 0.0000 0.0000 0.5000  2 Sb 2.79
W 0.5000 0.5000 0.5000  4 Pb 3.48, 8 P 3.72

The total energy comes out at -21.03 eV/cell.



(2)
## Li2SmZn2Si2 (PBE-GGA)

Data for crystalline Li2SmZn2Si2 at its relaxed geometry.

abc: 8.3257 8.3257 8.3257
angles: 29.10 29.10 29.10
With the nearest neighbours (Å) after each atom.
Fractional positions:
Li 0.1420 0.1420 0.1420  3 Zn 2.67, 4 Si 2.68-2.84, 3 Li 2.69
Li 0.8580 0.8580 0.8580  3 Zn 2.67, 4 Si 2.68-2.84, 3 Li 2.69
Sm 0.0000 0.0000 0.0000  6 Si 3.07, 6 Zn 3.30, 2 Li 3.39
Zn 0.4273 0.4273 0.4273  3 Si 2.44, 3 Li 2.67
Zn 0.5727 0.5727 0.5727  3 Si 2.44, 3 Li 2.67
Si 0.2542 0.2542 0.2542  3 Zn 2.44, 1 Li 2.68
Si 0.7458 0.7458 0.7458  3 Zn 2.44, 1 Li 2.68

The total energy comes out at -25.16 eV/cell.



(3)
## Ba2InCu2H6 (PBE-GGA)

Data for crystalline Ba2InCu2H6 at its relaxed geometry.

abc: 5.9575 5.9575 7.4280
angles: 114.86 114.86 47.32
With the nearest neighbours (Å) after each atom.
Fractional positions:
Ba 0.1926 0.1926 0.2134  7 H 2.69-2.96
Ba 0.8074 0.8074 0.7866  7 H 2.69-2.96
In 0.0000 0.0000 0.5000  4 H 2.53, 4 Cu 2.79
Cu 0.4839 0.4839 0.6817  3 H 1.62-1.66
Cu 0.5161 0.5161 0.3183  3 H 1.62-1.66
H 0.1782 0.6833 0.1664  1 Cu 1.62
H 0.3167 0.8218 0.8336  1 Cu 1.62
H 0.3183 0.3183 0.6285  1 Cu 1.66
H 0.6817 0.6817 0.3715  1 Cu 1.66
H 0.6833 0.1782 0.1664  1 Cu 1.62
H 0.8218 0.3167 0.8336  1 Cu 1.62

The total energy comes out at -37.22 eV/cell.



(4)
## Pr8Te4PdS3 (PBE-GGA)

Data for crystalline Pr8Te4PdS3 at its relaxed geometry.

abc: 8.8040 8.8040 8.8040
angles: 58.37 58.37 58.37
With the nearest neighbours (Å) after each atom.
Fractional positions:
Pr 0.2351 0.7413 0.7413  2 S 2.93, 1 Pd 2.97, 3 Te 3.20-3.23
Pr 0.2362 0.2362 0.2362  3 S 2.91
Pr 0.2587 0.2587 0.7649  2 S 2.93, 1 Pd 2.97, 3 Te 3.20-3.23
Pr 0.2587 0.7649 0.2587  2 S 2.93, 1 Pd 2.97, 3 Te 3.20-3.23
Pr 0.7413 0.2351 0.7413  2 S 2.93, 1 Pd 2.97, 3 Te 3.20-3.23
Pr 0.7413 0.7413 0.2351  2 S 2.93, 1 Pd 2.97, 3 Te 3.20-3.23
Pr 0.7638 0.7638 0.7638  3 S 2.91
Pr 0.7649 0.2587 0.2587  2 S 2.93, 1 Pd 2.97, 3 Te 3.20-3.23
Te 0.0000 0.0000 0.0000  6 Pr 3.20
Te 0.0000 0.5000 0.5000  6 Pr 3.23-3.26
Te 0.5000 0.0000 0.5000  6 Pr 3.23-3.26
Te 0.5000 0.5000 0.0000  6 Pr 3.23-3.26
Pd 0.5000 0.5000 0.5000  6 Pr 2.97
S 0.0000 0.0000 0.5000  6 Pr 2.91-2.93
S 0.0000 0.5000 0.0000  6 Pr 2.91-2.93
S 0.5000 0.0000 0.0000  6 Pr 2.91-2.93

The total energy comes out at -93.46 eV/cell.



(5)
## Y2Pd5Pt5 (PBE-GGA)

Data for crystalline Y2Pd5Pt5 at its relaxed geometry.

abc: 4.5000 5.3253 9.1703
angles: 90.00 90.00 90.00
With the nearest neighbours (Å) after each atom.
Fractional positions:
Y 0.0000 0.0000 0.0000  6 Pd 3.04-3.07
Y 0.0000 0.5000 0.5000  6 Pd 3.06-3.08
Pd 0.0000 0.0000 0.3319  4 Pt 2.72, 2 Pd 2.73, 1 Y 3.04
Pd 0.0000 0.0000 0.6681  4 Pt 2.72, 2 Pd 2.73, 1 Y 3.04
Pd 0.0000 0.5000 0.1669  6 Pt 2.72
Pd 0.0000 0.5000 0.8331  6 Pt 2.72
Pd 0.5000 0.0000 0.5000  4 Pt 2.65, 4 Pd 2.73
Pt 0.5000 0.2490 0.2493  3 Pt 2.65-2.67, 5 Pd 2.65-2.72
Pt 0.5000 0.2490 0.7507  3 Pt 2.65-2.67, 5 Pd 2.65-2.72
Pt 0.5000 0.5000 0.0000  4 Pt 2.65, 4 Pd 2.72
Pt 0.5000 0.7510 0.2493  3 Pt 2.65-2.67, 5 Pd 2.65-2.72
Pt 0.5000 0.7510 0.7507  3 Pt 2.65-2.67, 5 Pd 2.65-2.72

The total energy comes out at -76.44 eV/cell.



(6)
## LaTiPd2 (PBE-GGA)

Data for crystalline LaTiPd2 at its relaxed geometry.

abc: 8.9164 8.9164 8.9164
angles: 147.54 147.54 46.56
With the nearest neighbours (Å) after each atom.
Fractional positions:
La 0.0000 0.0000 0.0000  4 Pd 3.13
La 0.7500 0.2500 0.5000  4 Pd 3.13
Ti 0.2500 0.7500 0.5000  4 Pd 2.44
Ti 0.5000 0.5000 0.0000  4 Pd 2.44
Pd 0.2783 0.6250 0.1533  2 Ti 2.44, 2 Pd 2.67
Pd 0.3750 0.5283 0.6533  2 Ti 2.44, 2 Pd 2.67
Pd 0.4717 0.1250 0.8467  2 Ti 2.44, 2 Pd 2.67
Pd 0.8750 0.7217 0.3467  2 Ti 2.44, 2 Pd 2.67

The total energy comes out at -47.24 eV/cell.



(7)
## Cs2KNa (PBE-GGA)

Data for crystalline Cs2KNa at its relaxed geometry.

abc: 5.3420 5.3420 11.2843
angles: 90.00 90.00 90.00
With the nearest neighbours (Å) after each atom.
Fractional positions:
Cs 0.0000 0.0000 0.2204  4 Na 4.52, 4 K 4.92, 1 Cs 4.97
Cs 0.0000 0.0000 0.7796  4 Na 4.52, 4 K 4.92, 1 Cs 4.97
K 0.5000 0.5000 0.5000  8 Cs 4.92, 4 K 5.34
Na 0.5000 0.5000 0.0000  8 Cs 4.52

As for the excess energy over the best structure of this formula in the dataset: 0 meV/atom. The total energy comes out at -4.07 eV/cell.



(8)
## HfCd2F (PBE-GGA)

Data for crystalline HfCd2F at its relaxed geometry.

abc: 6.7814 6.7814 6.7814
angles: 95.65 95.65 143.43
With the nearest neighbours (Å) after each atom.
Fractional positions:
Hf 0.0000 0.0000 0.0000  2 F 2.13
Hf 0.7500 0.2500 0.5000  2 F 2.13
Cd 0.2216 0.6250 0.0966  2 F 2.72, 2 Cd 2.76
Cd 0.3750 0.4716 0.5966  2 F 2.72, 2 Cd 2.76
Cd 0.5284 0.1250 0.9034  2 F 2.72, 2 Cd 2.76
Cd 0.8750 0.7784 0.4034  2 F 2.72, 2 Cd 2.76
F 0.2500 0.7500 0.5000  2 Hf 2.13
F 0.5000 0.5000 0.0000  2 Hf 2.13

As for the excess energy over the best structure of this formula in the dataset: 0 meV/atom. The total energy comes out at -30.73 eV/cell.



(9)
## GePtSe2Br (PBE-GGA)

Data for crystalline GePtSe2Br at its relaxed geometry.

abc: 4.9867 4.9867 5.0932
angles: 90.00 90.00 90.00
With the nearest neighbours (Å) after each atom.
Fractional positions:
Ge 0.0000 0.0000 0.0000  4 Br 3.53, 8 Se 3.56
Pt 0.5000 0.5000 0.5000  4 Se 2.49, 2 Br 2.55
Se 0.0000 0.5000 0.5000  2 Pt 2.49
Se 0.5000 0.0000 0.5000  2 Pt 2.49
Br 0.5000 0.5000 0.0000  2 Pt 2.55

As for the excess energy over the best structure of this formula in the dataset: 0 meV/atom. The total energy comes out at -17.61 eV/cell.



(10)
## RbPaBi4 (PBE-GGA)

Data for crystalline RbPaBi4 at its relaxed geometry.

abc: 13.0956 13.0956 7.0803
angles: 90.00 90.00 159.39
With the nearest neighbours (Å) after each atom.
Fractional positions:
Rb 0.2209 0.7791 0.7500  7 Bi 3.77-3.98
Rb 0.7791 0.2209 0.2500  7 Bi 3.77-3.98
Pa 0.0625 0.9375 0.2500  11 Bi 3.35-3.55
Pa 0.9375 0.0625 0.7500  11 Bi 3.35-3.55
Bi 0.0704 0.9296 0.7500  3 Pa 3.43-3.55, 8 Bi 3.45-3.52
Bi 0.3635 0.6365 0.5334  1 Bi 3.07, 2 Pa 3.39
Bi 0.3635 0.6365 0.9666  1 Bi 3.07, 2 Pa 3.39
Bi 0.5000 0.5000 0.0000  4 Pa 3.35, 8 Bi 3.45-3.54
Bi 0.5000 0.5000 0.5000  4 Pa 3.35, 8 Bi 3.45-3.54
Bi 0.6365 0.3635 0.0334  1 Bi 3.07, 2 Pa 3.39
Bi 0.6365 0.3635 0.4666  1 Bi 3.07, 2 Pa 3.39
Bi 0.9296 0.0704 0.2500  3 Pa 3.43-3.55, 8 Bi 3.45-3.52

The total energy comes out at -54.21 eV/cell.



(11)
## FeNi2Pb (PBE-GGA)

Data for crystalline FeNi2Pb at its relaxed geometry.

abc: 5.1250 5.1250 5.1250
angles: 46.18 46.18 46.18
With the nearest neighbours (Å) after each atom.
Fractional positions:
Fe 0.0000 0.0000 0.0000  6 Ni 2.36-2.49, 1 Pb 2.63
Ni 0.3641 0.3641 0.3641  3 Fe 2.36
Ni 0.6017 0.6017 0.6017  3 Fe 2.49, 3 Ni 2.67
Pb 0.8081 0.8081 0.8081  1 Fe 2.63, 7 Ni 2.77-2.90

The total energy comes out at -22.50 eV/cell.



(12)
## RbNaPdF6 (PBE-GGA)

Data for crystalline RbNaPdF6 at its relaxed geometry.

abc: 5.7846 5.7846 5.8724
angles: 90.02 90.02 120.07
With the nearest neighbours (Å) after each atom.
Fractional positions:
Rb 0.0000 0.0000 0.0000  6 F 2.82
Na 0.6665 0.3335 0.5000  6 F 2.34
Pd 0.3334 0.6666 0.5000  6 F 1.95-1.96
F 0.0492 0.3926 0.3120  1 Pd 1.95
F 0.0501 0.6562 0.6892  1 Pd 1.96
F 0.3442 0.3939 0.6888  1 Pd 1.95
F 0.3438 0.9499 0.3108  1 Pd 1.96
F 0.6061 0.6558 0.3112  1 Pd 1.95
F 0.6074 0.9508 0.6880  1 Pd 1.95

The total energy comes out at -37.38 eV/cell.